Below is a relaxed structure of SrGa2Sn4, with properties calculated at the PBE level.

## Properties
- uncorrected energy (eV for the cell shown) = -25.01
- total moment (μB/f.u.) = 0.00
- formation energy from the elements (eV per atom) = -0.181

a b c (Å): 9.239 9.239 4.546
angles (deg): 90.00 90.00 150.51
Fractional positions:
Sr: 0.000 0.000 0.000
Ga: 0.429 0.571 0.500
Ga: 0.571 0.429 0.500
Sn: 0.171 0.829 0.500
Sn: 0.327 0.673 0.000
Sn: 0.673 0.327 0.000
Sn: 0.829 0.171 0.500